DFT (GGA-PBE) results for a relaxed structure of Sc5Cd2Pt2Rh.

Cell: 11.1455 11.1455 3.3297 Å, 90.00 90.00 90.00°
Last column: nearest neighbours and their distance in Å.
Space group P4/mbm (No. 127)
Inequivalent atoms, fractional coordinates:
Sc: 0.0000 0.5000 0.0000 x2  4 Pt 2.70
Sc: 0.0708 0.1888 0.0000 x8  2 Pt 2.68, 2 Rh 2.80
Cd: 0.1715 0.6715 0.5000 x4  1 Pt 3.06, 6 Sc 3.17-3.33, 2 Cd 3.33
Pt: 0.1346 0.3654 0.5000 x4  6 Sc 2.68-2.70
Rh: 0.0000 0.0000 0.5000 x2  8 Sc 2.80

Results
Energy of formation from the pure elements: -761 meV per atom
Electronic total energy: -6.053 eV per atom